Dy2ScOs2: relaxed, PBE.

Values from the calculation:
Calculated volume, Å³/cell: 109.30
Total magnetic moment, μB/f.u.: 0.00
E_form, eV per atom: -0.2831

Unit cell a=5.644 b=5.644 c=5.644 alpha=135.25 beta=116.82 gamma=80.71
Fractional positions:
Dy1 0.206 0.206 0.000
Dy2 0.794 0.794 0.000
Sc1 0.500 0.000 0.500
Os1 0.212 0.500 0.712
Os2 0.788 0.500 0.288